No. 1
# Zr5In4Co2 | the Alexandria database | PBE | optimized geometry
data_Zr5In4Co2
_space_group_name_H-M_alt 'P 1'
_space_group_IT_number 1
_cell_length_a 3.107
_cell_length_b 7.683
_cell_length_c 9.291
_cell_angle_alpha 86.66
_cell_angle_beta 90.00
_cell_angle_gamma 90.00
loop_
_space_group_symop_operation_xyz
'x,y,z'
loop_
_atom_site_label
_atom_site_type_symbol
_atom_site_fract_x
_atom_site_fract_y
_atom_site_fract_z
Co1 Co 0.000 0.066 0.365
Co2 Co 0.000 0.934 0.635
In1 In 0.500 0.805 0.855
In2 In 0.500 0.195 0.145
In3 In 0.500 0.781 0.439
In4 In 0.500 0.219 0.561
Zr1 Zr 0.000 0.500 0.000
Zr2 Zr 0.000 0.844 0.150
Zr3 Zr 0.000 0.156 0.850
Zr4 Zr 0.000 0.457 0.330
Zr5 Zr 0.000 0.543 0.670
# Energy relative to the elements (eV per atom): -0.07
# Uncorrected energy (eV/atom): -6.24

---

No. 2
# ErHF4 | the Alexandria database | PBE | optimized geometry
data_ErHF4
_space_group_name_H-M_alt 'P 1'
_space_group_IT_number 1
_cell_length_a 4.332
_cell_length_b 5.899
_cell_length_c 6.848
_cell_angle_alpha 90.00
_cell_angle_beta 90.00
_cell_angle_gamma 116.82
loop_
_space_group_symop_operation_xyz
'x,y,z'
loop_
_atom_site_label
_atom_site_type_symbol
_atom_site_fract_x
_atom_site_fract_y
_atom_site_fract_z
Er1 Er 0.033 0.618 0.750
Er2 Er 0.967 0.382 0.250
H1 H 0.060 0.128 0.750
H2 H 0.940 0.872 0.250
F1 F 0.552 0.647 0.750
F2 F 0.448 0.353 0.250
F3 F 0.222 0.056 0.750
F4 F 0.778 0.944 0.250
F5 F 0.097 0.721 0.064
F6 F 0.903 0.279 0.564
F7 F 0.097 0.721 0.436
F8 F 0.903 0.279 0.936
# Offset from the most stable computed form (meV/atom): 13
# Uncorrected energy (eV/atom): -5.80

---

No. 3
# TbHfCuIr | the Alexandria database | PBE | optimized geometry
data_TbHfCuIr
_space_group_name_H-M_alt 'P 1'
_space_group_IT_number 1
_cell_length_a 4.754
_cell_length_b 4.754
_cell_length_c 4.754
_cell_angle_alpha 60.00
_cell_angle_beta 60.00
_cell_angle_gamma 60.00
loop_
_space_group_symop_operation_xyz
'x,y,z'
loop_
_atom_site_label
_atom_site_type_symbol
_atom_site_fract_x
_atom_site_fract_y
_atom_site_fract_z
Tb1 Tb 0.000 0.000 0.000
Ir1 Ir 0.750 0.750 0.750
Hf1 Hf 0.500 0.500 0.500
Cu1 Cu 0.250 0.250 0.250
# Energy relative to the elements (eV per atom): -0.50
# Uncorrected energy (eV/atom): -7.39

---

No. 4
# SbAs2Br | the Alexandria database | PBE | optimized geometry
data_SbAs2Br
_space_group_name_H-M_alt 'P 1'
_space_group_IT_number 1
_cell_length_a 7.255
_cell_length_b 7.255
_cell_length_c 7.255
_cell_angle_alpha 146.43
_cell_angle_beta 148.05
_cell_angle_gamma 47.02
loop_
_space_group_symop_operation_xyz
'x,y,z'
loop_
_atom_site_label
_atom_site_type_symbol
_atom_site_fract_x
_atom_site_fract_y
_atom_site_fract_z
Sb1 Sb 0.241 0.741 0.500
As1 As 0.907 0.907 0.000
As2 As 0.791 0.291 0.500
Br1 Br 0.561 0.561 0.000
# Offset from the most stable computed form (meV/atom): 120
# Uncorrected energy (eV/atom): -3.69
# Energy relative to the elements, uncorrected (eV/atom): 0.083

---

No. 5
# CaHoTh | the Alexandria database | PBE | optimized geometry
data_CaHoTh
_space_group_name_H-M_alt 'P 1'
_space_group_IT_number 1
_cell_length_a 3.616
_cell_length_b 3.616
_cell_length_c 9.035
_cell_angle_alpha 90.00
_cell_angle_beta 90.00
_cell_angle_gamma 120.00
loop_
_space_group_symop_operation_xyz
'x,y,z'
loop_
_atom_site_label
_atom_site_type_symbol
_atom_site_fract_x
_atom_site_fract_y
_atom_site_fract_z
Ca1 Ca 0.000 0.000 0.998
Ho1 Ho 0.667 0.333 0.348
Th1 Th 0.333 0.667 0.654
# Offset from the most stable computed form (meV/atom): 0
# Energy relative to the elements (eV per atom): 0.10
# Uncorrected energy (eV/atom): -4.56

---

No. 6
# La2YHg2 | the Alexandria database | PBE | optimized geometry
data_La2YHg2
_space_group_name_H-M_alt 'P 1'
_space_group_IT_number 1
_cell_length_a 8.782
_cell_length_b 8.782
_cell_length_c 4.028
_cell_angle_alpha 90.00
_cell_angle_beta 90.00
_cell_angle_gamma 90.00
loop_
_space_group_symop_operation_xyz
'x,y,z'
loop_
_atom_site_label
_atom_site_type_symbol
_atom_site_fract_x
_atom_site_fract_y
_atom_site_fract_z
Y1 Y 0.000 0.000 0.000
Y2 Y 0.500 0.500 0.000
Hg1 Hg 0.369 0.869 0.000
Hg2 Hg 0.869 0.631 0.000
Hg3 Hg 0.631 0.131 0.000
Hg4 Hg 0.131 0.369 0.000
La1 La 0.167 0.667 0.500
La2 La 0.667 0.833 0.500
La3 La 0.833 0.333 0.500
La4 La 0.333 0.167 0.500
# Offset from the most stable computed form (meV/atom): 8
# Energy relative to the elements (eV per atom): -0.37
# Uncorrected energy (eV/atom): -3.76

---

No. 7
# SrNiN | the Alexandria database | PBE | optimized geometry
data_SrNiN
_space_group_name_H-M_alt 'P 1'
_space_group_IT_number 1
_cell_length_a 4.131
_cell_length_b 3.527
_cell_length_c 3.527
_cell_angle_alpha 120.00
_cell_angle_beta 90.00
_cell_angle_gamma 90.00
loop_
_space_group_symop_operation_xyz
'x,y,z'
loop_
_atom_site_label
_atom_site_type_symbol
_atom_site_fract_x
_atom_site_fract_y
_atom_site_fract_z
Sr1 Sr 0.667 0.333 0.667
N1 N 0.167 0.667 0.333
Ni1 Ni 0.167 0.000 0.000
# Uncorrected energy (eV/atom): -5.37
# Energy relative to the elements, uncorrected (eV/atom): -0.105

---

No. 8
# CaAlCd2O4 | the Alexandria database | PBE | optimized geometry
data_CaAlCd2O4
_space_group_name_H-M_alt 'P 1'
_space_group_IT_number 1
_cell_length_a 5.035
_cell_length_b 5.035
_cell_length_c 6.063
_cell_angle_alpha 114.52
_cell_angle_beta 114.52
_cell_angle_gamma 90.03
loop_
_space_group_symop_operation_xyz
'x,y,z'
loop_
_atom_site_label
_atom_site_type_symbol
_atom_site_fract_x
_atom_site_fract_y
_atom_site_fract_z
Ca1 Ca 0.000 0.000 0.000
Al1 Al 0.500 0.500 0.000
Cd1 Cd 0.750 0.250 0.500
Cd2 Cd 0.250 0.750 0.500
O1 O 0.607 0.607 0.793
O2 O 0.393 0.814 0.207
O3 O 0.814 0.393 0.207
O4 O 0.186 0.186 0.793
# Uncorrected energy (eV/atom): -5.38
# Energy relative to the elements, uncorrected (eV/atom): -1.955